Material: PrSmGe
Method: DFT, GGA-PBE
State: relaxed

The distance to the lowest polymorph of the same formula comes out at 122 meV/atom. The space group is No. 63.

Cell and atoms, written as POSCAR:
```
PrSmGe
1.0
2.142 -10.286 0.000
2.142 10.286 0.000
0.000 0.000 3.993
Pr Sm Ge
2 2 2
direct
0.195 0.805 0.750
0.805 0.195 0.250
0.423 0.577 0.750
0.577 0.423 0.250
0.043 0.957 0.750
0.957 0.043 0.250
```



Material: PrSm2Zn2Ge2
Method: DFT, GGA-PBE
State: relaxed

The space group is No. 166.

Cell and atoms, written as POSCAR:
```
PrSm2Zn2Ge2
1.0
2.098 1.211 11.497
-2.098 1.211 11.497
0.000 -2.422 11.497
Pr Sm Zn Ge
1 2 2 2
direct
0.000 0.000 0.000
0.123 0.123 0.123
0.877 0.877 0.877
0.394 0.394 0.394
0.606 0.606 0.606
0.268 0.268 0.268
0.732 0.732 0.732
```



Material: Pr3SnGe
Method: DFT, GGA-PBE
State: relaxed

The space group is No. 15.

Cell and atoms, written as POSCAR:
```
Pr3SnGe
1.0
6.225 -5.791 0.000
6.225 5.791 0.000
-0.022 0.000 8.747
Pr Sn Ge
12 4 4
direct
0.006 0.810 0.584
0.072 0.428 0.826
0.190 0.994 0.916
0.303 0.496 0.416
0.428 0.072 0.326
0.496 0.303 0.916
0.504 0.697 0.084
0.572 0.928 0.674
0.697 0.504 0.584
0.810 0.006 0.084
0.928 0.572 0.174
0.994 0.190 0.416
0.159 0.841 0.250
0.348 0.652 0.750
0.652 0.348 0.250
0.841 0.159 0.750
0.194 0.294 0.135
0.294 0.194 0.635
0.706 0.806 0.365
0.806 0.706 0.865
```



Material: Pr2SnGe2
Method: DFT, GGA-PBE
State: relaxed

The distance to the lowest polymorph of the same formula comes out at 11 meV/atom. The space group is No. 127.

Cell and atoms, written as POSCAR:
```
Pr2SnGe2
1.0
7.641 0.000 0.000
0.000 7.641 0.000
0.000 0.000 4.413
Pr Sn Ge
4 2 4
direct
0.181 0.319 0.000
0.319 0.819 0.000
0.681 0.181 0.000
0.819 0.681 0.000
0.000 0.000 0.500
0.500 0.500 0.500
0.118 0.618 0.500
0.382 0.118 0.500
0.618 0.882 0.500
0.882 0.382 0.500
```



Material: Pr3SnGe2
Method: DFT, GGA-PBE
State: relaxed

The distance to the lowest polymorph of the same formula comes out at 103 meV/atom. The space group is No. 65.

Cell and atoms, written as POSCAR:
```
Pr3SnGe2
1.0
2.305 -8.202 0.000
2.305 8.202 0.000
0.000 0.000 4.316
Pr Sn Ge
3 1 2
direct
0.000 0.000 0.000
0.173 0.827 0.500
0.827 0.173 0.500
0.500 0.500 0.500
0.352 0.648 0.000
0.648 0.352 0.000
```



Material: Pr10Sn3Ge3
Method: DFT, GGA-PBE
State: relaxed

The space group is No. 189.

Cell and atoms, written as POSCAR:
```
Pr10Sn3Ge3
1.0
9.165 0.000 0.000
-4.583 7.937 0.000
0.000 0.000 6.840
Pr Sn Ge
10 3 3
direct
0.000 0.244 0.000
0.000 0.755 0.500
0.244 0.000 0.000
0.245 0.245 0.500
0.333 0.667 0.261
0.333 0.667 0.739
0.667 0.333 0.261
0.667 0.333 0.739
0.755 0.000 0.500
0.756 0.756 0.000
0.000 0.604 0.000
0.396 0.396 0.000
0.604 0.000 0.000
0.000 0.389 0.500
0.389 0.000 0.500
0.611 0.611 0.500
```



Material: Pr4SnGe2
Method: DFT, GGA-PBE
State: relaxed

The space group is No. 166.

Cell and atoms, written as POSCAR:
```
Pr4SnGe2
1.0
2.447 1.413 10.563
-2.447 1.413 10.563
0.000 -2.826 10.563
Pr Sn Ge
4 1 2
direct
0.117 0.117 0.117
0.298 0.298 0.298
0.702 0.702 0.702
0.883 0.883 0.883
0.500 0.500 0.500
0.403 0.403 0.403
0.597 0.597 0.597
```



Material: Pr12SnGe6
Method: DFT, GGA-PBE
State: relaxed

The space group is No. 204.

Cell and atoms, written as POSCAR:
```
Pr12SnGe6
1.0
-5.222 5.222 5.222
5.222 -5.222 5.222
5.222 5.222 -5.222
Pr Sn Ge
12 1 6
direct
0.107 0.294 0.812
0.188 0.482 0.294
0.188 0.893 0.706
0.294 0.188 0.482
0.294 0.812 0.107
0.482 0.294 0.188
0.518 0.706 0.812
0.706 0.188 0.893
0.706 0.812 0.518
0.812 0.107 0.294
0.812 0.518 0.706
0.893 0.706 0.188
0.000 0.000 0.000
0.119 0.500 0.619
0.381 0.881 0.500
0.500 0.381 0.881
0.500 0.619 0.119
0.619 0.119 0.500
0.881 0.500 0.381
```



Material: Pr2SnGe2
Method: DFT, GGA-PBE
State: relaxed

The distance to the lowest polymorph of the same formula comes out at 0 meV/atom. The space group is No. 71.

Cell and atoms, written as POSCAR:
```
Pr2SnGe2
1.0
-2.209 3.241 4.485
2.209 -3.241 4.485
2.209 3.241 -4.485
Pr Sn Ge
2 1 2
direct
0.218 0.218 0.000
0.782 0.782 0.000
0.500 0.000 0.500
0.198 0.500 0.698
0.802 0.500 0.302
```



Material: Pr3SnGe4
Method: DFT, GGA-PBE
State: relaxed

The space group is No. 71.

Cell and atoms, written as POSCAR:
```
Pr3SnGe4
1.0
-2.169 3.268 7.636
2.169 -3.268 7.636
2.169 3.268 -7.636
Pr Sn Ge
3 1 4
direct
0.000 0.000 0.000
0.317 0.817 0.500
0.683 0.183 0.500
0.500 0.500 0.000
0.062 0.371 0.691
0.321 0.629 0.691
0.679 0.371 0.309
0.938 0.629 0.309
```



Material: Pr8Sn2Ge
Method: DFT, GGA-PBE
State: relaxed

The space group is No. 12.

Cell and atoms, written as POSCAR:
```
Pr8Sn2Ge
1.0
9.978 -2.619 0.000
9.978 2.619 0.000
-1.878 0.000 6.774
Pr Sn Ge
8 2 1
direct
0.016 0.016 0.276
0.218 0.218 0.819
0.347 0.347 0.502
0.409 0.409 0.035
0.591 0.591 0.965
0.653 0.653 0.498
0.782 0.782 0.181
0.984 0.984 0.724
0.178 0.178 0.247
0.822 0.822 0.753
0.500 0.500 0.500
```



Material: Pr5Sn2Ge2
Method: DFT, GGA-PBE
State: relaxed

The space group is No. 64.

Cell and atoms, written as POSCAR:
```
Pr5Sn2Ge2
1.0
7.948 -4.115 0.000
7.948 4.115 0.000
0.000 0.000 8.244
Pr Sn Ge
10 4 4
direct
0.000 0.000 0.000
0.046 0.691 0.675
0.191 0.546 0.175
0.309 0.954 0.675
0.454 0.809 0.175
0.500 0.500 0.500
0.546 0.191 0.825
0.691 0.046 0.325
0.809 0.454 0.825
0.954 0.309 0.325
0.211 0.211 0.000
0.289 0.289 0.500
0.711 0.711 0.500
0.789 0.789 0.000
0.121 0.879 0.378
0.379 0.621 0.878
0.621 0.379 0.122
0.879 0.121 0.622
```



| no. | E_form (eV per atom) |
| --- | --- |
| 1 | -0.487 |
| 2 | -0.482 |
| 3 | -0.588 |
| 4 | -0.754 |
| 5 | -0.600 |
| 6 | -0.666 |
| 7 | -0.609 |
| 8 | -0.602 |
| 9 | -0.765 |
| 10 | -0.572 |
| 11 | -0.419 |
| 12 | -0.753 |